Entry from the Alexandria database: an optimized crystal structure of Pm2Sm2Ir3 (PBE).

## Properties
- V: 170.5 Å³/cell

The structure in extended XYZ format:
```
7
Lattice="-1.6633 3.6135 2.9056 -3.1739 -2.8127 -2.4906 1.8412 -6.6465 5.1519" Properties=species:S:1:pos:R:3 pbc="T T T"
Ir -2.7564 -1.9690 0.8787
Sm -2.2101 0.8204 1.8955
Pm -0.1231 -1.9412 2.3475
Sm -0.7859 -6.6661 3.6714
Ir -0.2397 -3.8767 4.6882
Ir 0.0000 0.0000 0.0000
Pm -2.8729 -3.9045 3.2195
```

=====

Entry from the Alexandria database: an optimized crystal structure of PmSm2Ir (PBE).

## Properties
- V: 114.5 Å³/cell

The structure in extended XYZ format:
```
4
Lattice="4.6808 0.0000 0.0000 2.3404 4.0537 0.0000 2.3404 1.3512 6.0365" Properties=species:S:1:pos:R:3 pbc="T T T"
Sm 7.0211 4.0537 4.0558
Ir 4.6808 2.7024 3.0182
Sm 2.3404 1.3512 1.9807
Pm 0.0000 0.0000 0.0000
```

=====

Entry from the Alexandria database: an optimized crystal structure of Pm3Sm2Ir3 (PBE).

## Properties
- V: 448.4 Å³/cell

The structure in extended XYZ format:
```
16
Lattice="-3.1115 2.3025 4.3132 -1.0308 -6.1157 -2.9659 8.4572 -6.0607 9.3528" Properties=species:S:1:pos:R:3 pbc="T T T"
Pm 3.7828 -8.5919 9.5433
Pm 2.4596 -3.5465 7.4720
Ir 0.6889 -4.6657 5.4343
Ir 6.7109 -7.3936 8.6733
Ir -2.4122 -2.4898 2.0379
Pm -0.8037 -2.3706 4.4562
Ir 3.6758 -5.1548 5.2784
Sm -1.1481 -4.1081 -0.1176
Sm 1.9247 -6.2753 3.2495
Pm 5.1250 -7.4880 6.2456
Pm 2.7815 -2.8967 3.6622
Pm 0.5081 -1.2816 1.1582
Ir 0.4919 -3.9261 2.2816
Sm 1.5706 -6.9114 7.0219
Ir 3.8428 -5.9418 8.4337
Sm 5.4606 -5.7770 10.8431
```

=====

Entry from the Alexandria database: an optimized crystal structure of Pm2Sm2Ir (PBE).

## Properties
- V: 314.1 Å³/cell

The structure in extended XYZ format:
```
10
Lattice="-3.6294 6.5005 -1.5135 -6.0493 1.8471 3.3712 1.4908 7.0013 3.9092" Properties=species:S:1:pos:R:3 pbc="T T T"
Pm -2.3105 6.4406 4.7917
Sm -2.4412 8.1729 0.2739
Sm 0.0236 8.6121 2.9517
Sm -2.1623 4.8897 -0.5560
Ir -4.9874 2.1990 2.3361
Ir -4.6913 6.1486 -0.4784
Pm -4.5342 5.5018 2.1914
Pm -5.8775 8.9083 0.9751
Pm -3.6538 9.8471 3.5754
Sm 0.3026 5.3289 2.1218
```

=====

Entry from the Alexandria database: an optimized crystal structure of PmSm3Ir8 (PBE).

## Properties
- V: 224.4 Å³/cell

The structure in extended XYZ format:
```
12
Lattice="5.1848 0.0013 1.5660 2.3574 4.6179 1.5660 0.0011 0.0007 9.3718" Properties=species:S:1:pos:R:3 pbc="T T T"
Ir 5.8920 2.0209 8.5993
Ir 5.1863 3.1764 10.9393
Ir 5.8936 2.0222 3.9076
Ir 7.0713 4.3308 9.3826
Pm 6.6005 4.0425 6.2538
Sm 3.7708 2.3095 6.2540
Ir 1.4145 0.8663 4.6880
Ir 4.4796 4.3310 3.9076
Ir 3.3005 2.0214 3.1244
Ir 4.4777 4.3301 8.5993
Sm 2.8296 1.7330 9.3745
Sm 7.5433 4.6200 12.5033
```

=====

Entry from the Alexandria database: an optimized crystal structure of PmSm3Ir (PBE).

## Properties
- V: 172.0 Å³/cell

The structure in extended XYZ format:
```
5
Lattice="5.5616 0.0000 0.0000 0.0000 5.5616 0.0000 0.0000 0.0000 5.5616" Properties=species:S:1:pos:R:3 pbc="T T T"
Sm 0.0000 2.7808 0.0000
Ir 0.0000 0.0000 0.0000
Pm 2.7808 2.7808 2.7808
Sm 2.7808 0.0000 0.0000
Sm 0.0000 0.0000 2.7808
```

=====

DFT formation energy readings, ordered: -0.66 -0.11 -0.51 -0.29 -0.74 -0.19 eV per atom